# 1
The following is a PBE calculation of a relaxed structure of K2DySbS4, from the Alexandria database.

a = 8.3447 Å, b = 8.4223 Å, c = 11.8621 Å
α = 90.00°, β = 90.00°, γ = 90.00°
Closest atoms and distances in Å follow each position.
Space group Imma (No. 74)
Inequivalent atoms, fractional coordinates:
K1 0.0000 0.0000 0.0000  6 S 3.13-3.14
K2 0.2500 0.2500 0.2500  6 S 3.16-3.17
Dy1 0.2500 0.2500 0.7500  6 S 2.78-2.79
Sb1 0.0000 0.0000 0.5000  6 S 2.81-2.82
S1 0.0000 0.0311 0.7358  2 Dy 2.79, 1 Sb 2.81
S2 0.2236 0.2500 0.5162  1 Dy 2.78, 2 Sb 2.82

Calculated values
Its total magnetization is 0.000 μB/atom. For the formation energy from raw total energies, the calculation gives -1.265 eV/atom.

# 2
The following is a PBE calculation of a relaxed structure of K3Dy3SbS8, from the Alexandria database.

a = 7.9973 Å, b = 7.9973 Å, c = 22.4934 Å
α = 90.00°, β = 90.00°, γ = 120.00°
Closest atoms and distances in Å follow each position.
Space group R-3m (No. 166, hexagonal axes)
Inequivalent atoms, fractional coordinates:
K1 0.0000 0.5000 0.0000  6 S 3.22
Dy1 0.0000 0.5000 0.5000  6 S 2.75-2.76
Sb1 0.0000 0.0000 0.5000  6 S 2.67
S1 0.0000 0.0000 0.2333  3 Dy 2.75
S2 0.0104 0.5052 0.2317  1 Sb 2.67, 2 Dy 2.76

Calculated values
Its total magnetization is 0.000 μB/atom. For the formation energy from raw total energies, the calculation gives -1.539 eV/atom.

# 3
The following is a PBE calculation of a relaxed structure of K3Dy2ScS6, from the Alexandria database.

a = 6.8999 Å, b = 11.9526 Å, c = 7.6999 Å
α = 90.00°, β = 107.41°, γ = 90.00°
Closest atoms and distances in Å follow each position.
Space group C2/m (No. 12)
Inequivalent atoms, fractional coordinates:
K1 0.0000 0.0000 0.0000  6 S 3.17-3.25
K2 0.0000 0.3318 0.0000  6 S 3.17-3.24
Dy1 0.0000 0.1665 0.5000  6 S 2.76
Sc1 0.0000 0.5000 0.5000  6 S 2.65
S1 0.2268 0.3393 0.6983  1 Sc 2.65, 2 Dy 2.76
S2 0.2449 0.0000 0.6985  1 Sc 2.65, 2 Dy 2.76

Calculated values
Its total magnetization is 0.000 μB/atom. For the formation energy from raw total energies, the calculation gives -1.839 eV/atom.

# 4
The following is a PBE calculation of a relaxed structure of K4Dy3ScS8, from the Alexandria database.

a = 8.0036 Å, b = 8.0036 Å, c = 22.0567 Å
α = 90.00°, β = 90.00°, γ = 120.00°
Closest atoms and distances in Å follow each position.
Space group R-3m (No. 166, hexagonal axes)
Inequivalent atoms, fractional coordinates:
K1 0.0000 0.0000 0.0000  6 S 3.26
K2 0.0000 0.5000 0.0000  6 S 3.18
Dy1 0.0000 0.5000 0.5000  6 S 2.75-2.76
Sc1 0.0000 0.0000 0.5000  6 S 2.67
S1 0.0000 0.0000 0.2344  3 Dy 2.75
S2 0.0107 0.5054 0.2326  1 Sc 2.67, 2 Dy 2.76

Calculated values
Its total magnetization is 0.000 μB/atom. For the formation energy from raw total energies, the calculation gives -1.849 eV/atom.

# 5
The following is a PBE calculation of a relaxed structure of KDy4ScS8, from the Alexandria database.

a = 8.2231 Å, b = 8.2231 Å, c = 19.4760 Å
α = 90.00°, β = 90.00°, γ = 120.00°
Closest atoms and distances in Å follow each position.
Space group R3m (No. 160, hexagonal axes)
Inequivalent atoms, fractional coordinates:
K1 0.0000 0.0000 0.0000  4 S 2.83-2.87
Dy1 0.0000 0.0000 0.2398  4 S 2.62-2.67
Dy2 0.1728 0.3456 0.4491  6 S 2.67-2.86
Sc1 0.0000 0.0000 0.6232  3 S 2.49
S1 0.0000 0.0000 0.3743  4 Dy 2.62-2.86
S2 0.0000 0.0000 0.8529  3 Dy 2.67, 1 K 2.87
S3 0.0537 0.5269 0.3667  1 Sc 2.49, 2 Dy 2.69
S4 0.1785 0.3570 0.1982  3 Dy 2.67-2.84, 1 Sc 2.84

Calculated values
Its total magnetization is 0.000 μB/atom. For the formation energy from raw total energies, the calculation gives -1.896 eV/atom.

# 6
The following is a PBE calculation of a relaxed structure of K2DyScS4, from the Alexandria database.

a = 6.8389 Å, b = 3.9522 Å, c = 7.6798 Å
α = 90.00°, β = 107.27°, γ = 90.00°
Closest atoms and distances in Å follow each position.
Space group P2/m (No. 10)
Inequivalent atoms, fractional coordinates:
K1 0.0000 0.0000 0.0000  6 S 3.22-3.23
K2 0.5000 0.5000 0.0000  6 S 3.15
Dy1 0.0000 0.5000 0.5000  6 S 2.74-2.75
Sc1 0.5000 0.0000 0.5000  6 S 2.64-2.66
S1 0.2443 0.0000 0.6993  1 Sc 2.64, 2 Dy 2.74
S2 0.2791 0.5000 0.3057  2 Sc 2.66, 1 Dy 2.75

Calculated values
Its total magnetization is 0.000 μB/atom. For the formation energy from raw total energies, the calculation gives -1.813 eV/atom.